Compound: Rb5Np2Cl12
Source: Alexandria
Functional: PBE
Structure: optimized geometry

```
Rb5Np2Cl12
1.0
-4.4073 -6.5918 1.8208
4.9556 -3.1940 7.4728
-3.1547 2.5435 8.6128
Cl Rb Np
12 5 2
Direct
0.1676 0.5342 0.5342
0.1540 0.9267 0.9267
0.2110 0.1490 0.5513
0.2257 0.8996 0.3061
0.2110 0.5513 0.1490
0.8460 0.0733 0.0733
0.7743 0.1004 0.6939
0.7743 0.6939 0.1004
0.8324 0.4658 0.4658
0.7890 0.8510 0.4487
0.7890 0.4487 0.8510
0.2257 0.3061 0.8996
0.9934 0.7540 0.7540
0.0066 0.2460 0.2460
0.4906 0.6334 0.6334
0.5000 0.0000 0.0000
0.5094 0.3666 0.3666
0.0000 0.7514 0.2486
0.0000 0.2486 0.7514
```

Summary:
* SG: No. 12

---

Compound: BaSb4Pb5
Source: Alexandria
Functional: PBE
Structure: optimized geometry

```
BaSb4Pb5
1.0
-2.3883 -4.8899 -0.8159
2.3375 3.2804 -7.9459
6.8735 -3.5371 1.0786
Pb Sb Ba
5 4 1
Direct
0.1696 0.3393 0.4810
0.5000 0.0000 0.5000
0.8173 0.6346 0.9882
0.8304 0.6607 0.5190
0.1827 0.3654 0.0118
0.0423 0.0845 0.7390
0.6761 0.3521 0.2627
0.3239 0.6479 0.7373
0.9577 0.9155 0.2610
0.5000 0.0000 0.0000
```

Summary:
* SG: No. 12

---

Compound: Be2AgBiSe
Source: Alexandria
Functional: PBE
Structure: optimized geometry

```
Be2AgBiSe
1.0
-4.3002 1.0083 0.3861
-0.9296 -4.7484 2.0476
0.7419 1.6075 4.0648
Be Bi Se Ag
2 1 1 1
Direct
0.5000 0.0000 0.0000
0.0000 0.0000 0.5000
0.5000 0.5000 0.5000
0.0000 0.0000 0.0000
0.0000 0.5000 0.0000
```

Summary:
* SG: No. 123

---

Compound: AcRuO5
Source: Alexandria
Functional: PBE
Structure: optimized geometry

```
AcRuO5
1.0
-3.5143 2.9117 -3.6581
-1.9468 -3.6573 -4.1285
-7.4403 -1.8846 1.5242
Ru Ac O
2 2 10
Direct
0.0000 0.0000 0.5000
0.0000 0.0000 0.0000
0.4480 0.5520 0.7500
0.5520 0.4480 0.2500
0.7259 0.2927 0.5339
0.2927 0.7259 0.0339
0.0710 0.9290 0.7500
0.2741 0.7073 0.4661
0.8067 0.7823 0.1034
0.7823 0.8067 0.6034
0.2177 0.1933 0.3966
0.7073 0.2741 0.9661
0.9290 0.0710 0.2500
0.1933 0.2177 0.8966
```

Summary:
* SG: No. 15
* energy above the most stable polymorph in this dataset: 0 meV/atom

---

no.,uncorrected formation energy (eV per formula unit),volume (Å³/f.u.),M_tot (μB per formula unit)
1,-34.64,646.4,7.00
2,-1.62,363.2,0.00
3,3.30,103.3,0.00
4,-11.19,115.6,0.99